A plane-wave DFT calculation with PBE+U was carried out for a relaxed YVN2O crystal.

**Density of states at the Fermi level**: 1.024 states/eV/f.u.
**Uncorrected energy**: -41.3 eV/f.u.

Lattice parameters (Å, degrees): 3.851 3.851 3.791 90.00 90.00 90.00
Element x y z (fractional)
Y 0.000 0.000 0.000
V 0.500 0.500 0.500
N 0.000 0.500 0.500
N 0.500 0.000 0.500
O 0.500 0.500 0.000